! PBE-GGA Li2Ga3, optimized geometry; values from VASP
! - M_tot (μB/cell) = 0.0
! - excess energy over the best structure of this formula in the dataset (meV/atom) = 0.0
&SYSTEM
  ibrav = 0, nat = 10, ntyp = 2
/
ATOMIC_SPECIES
Li 6.94 Li.upf
Ga 69.72 Ga.upf
CELL_PARAMETERS angstrom
6.338 0.000 0.000
0.000 6.338 0.000
0.000 0.000 4.025
ATOMIC_POSITIONS angstrom
Li 0.718 4.432 0.000
Li 1.906 0.718 0.000
Li 4.432 5.620 0.000
Li 5.620 1.906 0.000
Ga 0.000 0.000 2.012
Ga 1.216 2.518 2.012
Ga 2.518 5.122 2.012
Ga 3.169 3.169 0.000
Ga 3.820 1.216 2.012
Ga 5.122 3.820 2.012


! PBE-GGA LiGa2, optimized geometry; values from VASP
! - M_tot (μB/cell) = 0.0
! - excess energy over the best structure of this formula in the dataset (meV/atom) = 0.0
&SYSTEM
  ibrav = 0, nat = 6, ntyp = 2
/
ATOMIC_SPECIES
Li 6.94 Li.upf
Ga 69.72 Ga.upf
CELL_PARAMETERS angstrom
-2.160 3.233 3.806
2.160 -3.233 3.806
2.160 3.233 -3.806
ATOMIC_POSITIONS angstrom
Li 0.000 1.616 0.269
Li 2.160 1.616 3.537
Ga 2.160 -0.222 1.248
Ga 2.160 3.010 -1.248
Ga 0.000 0.222 5.054
Ga 0.000 3.455 2.558


! PBE-GGA LiGa8, optimized geometry; values from VASP
! - M_tot (μB/cell) = 0.0
! - excess energy over the best structure of this formula in the dataset (meV/atom) = 0.0
&SYSTEM
  ibrav = 0, nat = 9, ntyp = 2
/
ATOMIC_SPECIES
Li 6.94 Li.upf
Ga 69.72 Ga.upf
CELL_PARAMETERS angstrom
-4.232 4.232 2.291
4.232 -4.232 2.291
4.232 4.232 -2.291
ATOMIC_POSITIONS angstrom
Li 0.000 0.000 0.000
Ga 2.810 0.000 0.000
Ga 5.654 0.000 0.000
Ga 0.000 2.810 0.000
Ga 2.828 2.828 0.000
Ga 1.404 -1.404 2.291
Ga -1.404 1.404 2.291
Ga 1.404 1.404 2.291
Ga 0.000 5.654 0.000


! PBE-GGA Li4Ga3, optimized geometry; values from VASP
! - M_tot (μB/cell) = 0.0
&SYSTEM
  ibrav = 0, nat = 7, ntyp = 2
/
ATOMIC_SPECIES
Li 6.94 Li.upf
Ga 69.72 Ga.upf
CELL_PARAMETERS angstrom
-1.381 2.062 9.760
1.381 -2.062 9.760
1.381 2.062 -9.760
ATOMIC_POSITIONS angstrom
Li 0.000 0.000 1.372
Li 0.000 0.000 4.104
Li 0.000 0.000 15.416
Li 0.000 0.000 18.148
Ga 0.000 0.000 6.949
Ga 0.000 0.000 9.760
Ga 0.000 0.000 12.571


! PBE-GGA LiGa3, optimized geometry; values from VASP
! - M_tot (μB/cell) = 0.0
&SYSTEM
  ibrav = 0, nat = 4, ntyp = 2
/
ATOMIC_SPECIES
Li 6.94 Li.upf
Ga 69.72 Ga.upf
CELL_PARAMETERS angstrom
-1.473 4.596 2.589
1.473 -4.596 2.589
1.473 4.596 -2.589
ATOMIC_POSITIONS angstrom
Li 0.000 0.000 0.000
Ga 1.473 2.274 0.940
Ga 1.473 0.000 2.585
Ga 0.000 2.322 3.528


! PBE-GGA LiGa5, optimized geometry; values from VASP
! - M_tot (μB/cell) = 0.0
! - excess energy over the best structure of this formula in the dataset (meV/atom) = 46.9
&SYSTEM
  ibrav = 0, nat = 6, ntyp = 2
/
ATOMIC_SPECIES
Li 6.94 Li.upf
Ga 69.72 Ga.upf
CELL_PARAMETERS angstrom
2.421 -6.974 0.000
2.421 6.974 0.000
0.000 0.000 3.240
ATOMIC_POSITIONS angstrom
Li 0.000 0.000 0.000
Ga 2.421 4.686 1.620
Ga 2.421 2.337 0.000
Ga 2.421 0.000 1.620
Ga 2.421 -2.337 0.000
Ga 2.421 -4.686 1.620


! PBE-GGA Li3Ga8, optimized geometry; values from VASP
! - M_tot (μB/cell) = 0.0
&SYSTEM
  ibrav = 0, nat = 11, ntyp = 2
/
ATOMIC_SPECIES
Li 6.94 Li.upf
Ga 69.72 Ga.upf
CELL_PARAMETERS angstrom
4.526 -2.000 0.000
4.526 2.000 0.000
-2.631 0.000 10.224
ATOMIC_POSITIONS angstrom
Li 0.000 0.000 0.000
Li -0.872 0.000 6.576
Li 7.294 0.000 3.648
Ga 0.949 0.000 2.808
Ga 0.061 0.000 9.319
Ga 1.855 0.000 5.517
Ga 3.666 0.000 1.853
Ga 2.756 0.000 8.370
Ga 4.567 0.000 4.706
Ga 6.361 0.000 0.905
Ga 5.473 0.000 7.416


! PBE-GGA Li13Ga2, optimized geometry; values from VASP
! - M_tot (μB/cell) = 0.0
&SYSTEM
  ibrav = 0, nat = 15, ntyp = 2
/
ATOMIC_SPECIES
Li 6.94 Li.upf
Ga 69.72 Ga.upf
CELL_PARAMETERS angstrom
3.012 1.739 9.580
-3.012 1.739 9.580
0.000 -3.478 9.580
ATOMIC_POSITIONS angstrom
Li 0.000 0.000 0.000
Li 0.000 -1.690 6.205
Li -1.463 0.845 6.205
Li 0.000 -1.503 10.896
Li -1.301 0.751 10.896
Li -1.301 -0.751 17.844
Li -1.463 -0.845 22.535
Li 1.463 0.845 6.205
Li 1.301 0.751 10.896
Li 1.301 -0.751 17.844
Li 0.000 1.503 17.844
Li 1.463 -0.845 22.535
Li 0.000 1.690 22.535
Ga 0.000 0.000 8.480
Ga 0.000 0.000 20.260


! PBE-GGA Li3Ga, optimized geometry; values from VASP
! - M_tot (μB/cell) = 0.0
! - excess energy over the best structure of this formula in the dataset (meV/atom) = 2.2
&SYSTEM
  ibrav = 0, nat = 4, ntyp = 2
/
ATOMIC_SPECIES
Li 6.94 Li.upf
Ga 69.72 Ga.upf
CELL_PARAMETERS angstrom
0.000 3.177 3.177
3.177 0.000 3.177
3.177 3.177 0.000
ATOMIC_POSITIONS angstrom
Li 0.000 0.000 0.000
Li 1.589 1.589 1.589
Li 4.766 4.766 4.766
Ga 3.177 3.177 3.177


! PBE-GGA LiGa3, optimized geometry; values from VASP
! - M_tot (μB/cell) = 0.0
&SYSTEM
  ibrav = 0, nat = 8, ntyp = 2
/
ATOMIC_SPECIES
Li 6.94 Li.upf
Ga 69.72 Ga.upf
CELL_PARAMETERS angstrom
5.905 0.000 0.000
-2.953 5.114 0.000
0.000 0.000 4.504
ATOMIC_POSITIONS angstrom
Li 0.000 3.409 1.126
Li 2.953 1.705 3.378
Ga 0.000 1.727 3.378
Ga -1.457 4.251 3.378
Ga 1.496 0.863 1.126
Ga 1.457 4.251 3.378
Ga 4.410 0.863 1.126
Ga 2.953 3.387 1.126


! PBE-GGA LiLuGa, optimized geometry; values from VASP
! - M_tot (μB/cell) = 0.0
! - excess energy over the best structure of this formula in the dataset (meV/atom) = 124.5
&SYSTEM
  ibrav = 0, nat = 3, ntyp = 3
/
ATOMIC_SPECIES
Li 6.94 Li.upf
Lu 174.97 Lu.upf
Ga 69.72 Ga.upf
CELL_PARAMETERS angstrom
-1.705 1.705 5.256
1.705 -1.705 5.256
1.705 1.705 -5.256
ATOMIC_POSITIONS angstrom
Li 0.000 0.000 0.000
Lu 0.000 0.000 3.108
Ga 0.000 0.000 6.503


! PBE-GGA LiLuGa, optimized geometry; values from VASP
! - M_tot (μB/cell) = 0.0
! - excess energy over the best structure of this formula in the dataset (meV/atom) = 0.0
&SYSTEM
  ibrav = 0, nat = 3, ntyp = 3
/
ATOMIC_SPECIES
Li 6.94 Li.upf
Lu 174.97 Lu.upf
Ga 69.72 Ga.upf
CELL_PARAMETERS angstrom
4.609 0.000 0.000
-2.305 3.992 0.000
0.000 0.000 3.261
ATOMIC_POSITIONS angstrom
Li 0.000 0.000 0.000
Lu 2.305 1.331 1.630
Ga 0.000 2.661 0.000


! PBE-GGA Li2LuGa, optimized geometry; values from VASP
! - M_tot (μB/cell) = 0.1
! - excess energy over the best structure of this formula in the dataset (meV/atom) = 94.6
&SYSTEM
  ibrav = 0, nat = 4, ntyp = 3
/
ATOMIC_SPECIES
Li 6.94 Li.upf
Lu 174.97 Lu.upf
Ga 69.72 Ga.upf
CELL_PARAMETERS angstrom
4.155 0.000 0.000
0.000 4.155 0.000
0.000 0.000 4.817
ATOMIC_POSITIONS angstrom
Li 0.000 2.078 0.000
Li 2.078 0.000 0.000
Lu 0.000 0.000 2.408
Ga 2.078 2.078 2.408


! PBE-GGA Li4LuGa, optimized geometry; values from VASP
! - M_tot (μB/cell) = 0.0
&SYSTEM
  ibrav = 0, nat = 6, ntyp = 3
/
ATOMIC_SPECIES
Li 6.94 Li.upf
Lu 174.97 Lu.upf
Ga 69.72 Ga.upf
CELL_PARAMETERS angstrom
0.000 3.770 3.770
3.770 0.000 3.770
3.770 3.770 0.000
ATOMIC_POSITIONS angstrom
Li 2.837 2.837 2.837
Li 4.703 4.703 2.837
Li 4.703 2.837 4.703
Li 2.837 4.703 4.703
Lu 0.000 0.000 0.000
Ga 5.655 5.655 5.655


! PBE-GGA LiLuGa4, optimized geometry; values from VASP
! - M_tot (μB/cell) = 0.0
&SYSTEM
  ibrav = 0, nat = 6, ntyp = 3
/
ATOMIC_SPECIES
Li 6.94 Li.upf
Lu 174.97 Lu.upf
Ga 69.72 Ga.upf
CELL_PARAMETERS angstrom
0.000 3.825 3.825
3.825 0.000 3.825
3.825 3.825 0.000
ATOMIC_POSITIONS angstrom
Li 0.000 0.000 0.000
Lu 1.913 1.913 1.913
Ga 4.782 2.869 2.869
Ga 2.869 4.782 2.869
Ga 2.869 2.869 4.782
Ga 4.782 4.782 4.782


! PBE-GGA Li2LuGa, optimized geometry; values from VASP
! - M_tot (μB/cell) = 0.0
! - excess energy over the best structure of this formula in the dataset (meV/atom) = 0.0
&SYSTEM
  ibrav = 0, nat = 4, ntyp = 3
/
ATOMIC_SPECIES
Li 6.94 Li.upf
Lu 174.97 Lu.upf
Ga 69.72 Ga.upf
CELL_PARAMETERS angstrom
0.000 3.256 3.256
3.256 0.000 3.256
3.256 3.256 0.000
ATOMIC_POSITIONS angstrom
Li 1.628 1.628 1.628
Li 4.884 4.884 4.884
Lu 0.000 0.000 0.000
Ga 3.256 3.256 3.256


! PBE-GGA LiLuMnGa, optimized geometry; values from VASP
! - M_tot (μB/cell) = 3.9
&SYSTEM
  ibrav = 0, nat = 4, ntyp = 4
/
ATOMIC_SPECIES
Li 6.94 Li.upf
Lu 174.97 Lu.upf
Mn 54.94 Mn.upf
Ga 69.72 Ga.upf
CELL_PARAMETERS angstrom
0.000 3.264 3.264
3.264 0.000 3.264
3.264 3.264 0.000
ATOMIC_POSITIONS angstrom
Li 0.000 0.000 0.000
Lu 1.632 1.632 1.632
Mn 3.264 3.264 3.264
Ga 4.896 4.896 4.896


! PBE-GGA LiLuGaNi, optimized geometry; values from VASP
! - M_tot (μB/cell) = 0.0
&SYSTEM
  ibrav = 0, nat = 4, ntyp = 4
/
ATOMIC_SPECIES
Li 6.94 Li.upf
Lu 174.97 Lu.upf
Ga 69.72 Ga.upf
Ni 58.69 Ni.upf
CELL_PARAMETERS angstrom
0.000 3.154 3.154
3.154 0.000 3.154
3.154 3.154 0.000
ATOMIC_POSITIONS angstrom
Li 0.000 0.000 0.000
Lu 1.577 1.577 1.577
Ga 4.731 4.731 4.731
Ni 3.154 3.154 3.154


! PBE-GGA LiLuPaGa, optimized geometry; values from VASP
! - M_tot (μB/cell) = 0.0
&SYSTEM
  ibrav = 0, nat = 4, ntyp = 4
/
ATOMIC_SPECIES
Li 6.94 Li.upf
Lu 174.97 Lu.upf
Pa 231.04 Pa.upf
Ga 69.72 Ga.upf
CELL_PARAMETERS angstrom
0.000 3.518 3.518
3.518 0.000 3.518
3.518 3.518 0.000
ATOMIC_POSITIONS angstrom
Li 0.000 0.000 0.000
Lu 5.278 5.278 5.278
Pa 1.759 1.759 1.759
Ga 3.518 3.518 3.518


! PBE-GGA LiLuGaPb, optimized geometry; values from VASP
! - M_tot (μB/cell) = 0.0
&SYSTEM
  ibrav = 0, nat = 4, ntyp = 4
/
ATOMIC_SPECIES
Li 6.94 Li.upf
Lu 174.97 Lu.upf
Ga 69.72 Ga.upf
Pb 207.20 Pb.upf
CELL_PARAMETERS angstrom
0.000 3.566 3.566
3.566 0.000 3.566
3.566 3.566 0.000
ATOMIC_POSITIONS angstrom
Li 0.000 0.000 0.000
Lu 3.566 3.566 3.566
Ga 5.349 5.349 5.349
Pb 1.783 1.783 1.783


! PBE-GGA LiPmLuGa, optimized geometry; values from VASP
! - M_tot (μB/cell) = 0.0
&SYSTEM
  ibrav = 0, nat = 4, ntyp = 4
/
ATOMIC_SPECIES
Li 6.94 Li.upf
Pm 145.00 Pm.upf
Lu 174.97 Lu.upf
Ga 69.72 Ga.upf
CELL_PARAMETERS angstrom
0.000 3.614 3.614
3.614 0.000 3.614
3.614 3.614 0.000
ATOMIC_POSITIONS angstrom
Li 0.000 0.000 0.000
Pm 5.422 5.422 5.422
Lu 1.807 1.807 1.807
Ga 3.614 3.614 3.614


! PBE-GGA LiLuGaRh, optimized geometry; values from VASP
! - M_tot (μB/cell) = 0.0
&SYSTEM
  ibrav = 0, nat = 4, ntyp = 4
/
ATOMIC_SPECIES
Li 6.94 Li.upf
Lu 174.97 Lu.upf
Ga 69.72 Ga.upf
Rh 102.91 Rh.upf
CELL_PARAMETERS angstrom
0.000 3.219 3.219
3.219 0.000 3.219
3.219 3.219 0.000
ATOMIC_POSITIONS angstrom
Li 0.000 0.000 0.000
Lu 1.609 1.609 1.609
Ga 4.828 4.828 4.828
Rh 3.219 3.219 3.219


! PBE-GGA LiLuScGa, optimized geometry; values from VASP
! - M_tot (μB/cell) = 0.0
&SYSTEM
  ibrav = 0, nat = 4, ntyp = 4
/
ATOMIC_SPECIES
Li 6.94 Li.upf
Lu 174.97 Lu.upf
Sc 44.96 Sc.upf
Ga 69.72 Ga.upf
CELL_PARAMETERS angstrom
0.000 3.451 3.451
3.451 0.000 3.451
3.451 3.451 0.000
ATOMIC_POSITIONS angstrom
Li 0.000 0.000 0.000
Lu 1.726 1.726 1.726
Sc 5.177 5.177 5.177
Ga 3.451 3.451 3.451


! PBE-GGA LiSmLuGa, optimized geometry; values from VASP
! - M_tot (μB/cell) = 0.0
&SYSTEM
  ibrav = 0, nat = 4, ntyp = 4
/
ATOMIC_SPECIES
Li 6.94 Li.upf
Sm 150.36 Sm.upf
Lu 174.97 Lu.upf
Ga 69.72 Ga.upf
CELL_PARAMETERS angstrom
0.000 3.604 3.604
3.604 0.000 3.604
3.604 3.604 0.000
ATOMIC_POSITIONS angstrom
Li 0.000 0.000 0.000
Sm 1.802 1.802 1.802
Lu 5.406 5.406 5.406
Ga 3.604 3.604 3.604


! PBE-GGA LiTbLuGa, optimized geometry; values from VASP
! - M_tot (μB/cell) = 0.0
&SYSTEM
  ibrav = 0, nat = 4, ntyp = 4
/
ATOMIC_SPECIES
Li 6.94 Li.upf
Tb 158.93 Tb.upf
Lu 174.97 Lu.upf
Ga 69.72 Ga.upf
CELL_PARAMETERS angstrom
0.000 3.571 3.571
3.571 0.000 3.571
3.571 3.571 0.000
ATOMIC_POSITIONS angstrom
Li 0.000 0.000 0.000
Tb 5.357 5.357 5.357
Lu 1.786 1.786 1.786
Ga 3.571 3.571 3.571


! PBE-GGA LiLuTlGa, optimized geometry; values from VASP
! - M_tot (μB/cell) = 0.0
&SYSTEM
  ibrav = 0, nat = 4, ntyp = 4
/
ATOMIC_SPECIES
Li 6.94 Li.upf
Lu 174.97 Lu.upf
Tl 204.38 Tl.upf
Ga 69.72 Ga.upf
CELL_PARAMETERS angstrom
0.000 3.503 3.503
3.503 0.000 3.503
3.503 3.503 0.000
ATOMIC_POSITIONS angstrom
Li 0.000 0.000 0.000
Lu 3.503 3.503 3.503
Tl 5.255 5.255 5.255
Ga 1.752 1.752 1.752


! PBE-GGA LiTmLuGa, optimized geometry; values from VASP
! - M_tot (μB/cell) = 0.0
&SYSTEM
  ibrav = 0, nat = 4, ntyp = 4
/
ATOMIC_SPECIES
Li 6.94 Li.upf
Tm 168.93 Tm.upf
Lu 174.97 Lu.upf
Ga 69.72 Ga.upf
CELL_PARAMETERS angstrom
0.000 3.536 3.536
3.536 0.000 3.536
3.536 3.536 0.000
ATOMIC_POSITIONS angstrom
Li 0.000 0.000 0.000
Tm 5.304 5.304 5.304
Lu 1.768 1.768 1.768
Ga 3.536 3.536 3.536


! PBE-GGA LiYLuGa, optimized geometry; values from VASP
! - M_tot (μB/cell) = 0.0
&SYSTEM
  ibrav = 0, nat = 4, ntyp = 4
/
ATOMIC_SPECIES
Li 6.94 Li.upf
Y 88.91 Y.upf
Lu 174.97 Lu.upf
Ga 69.72 Ga.upf
CELL_PARAMETERS angstrom
0.000 3.567 3.567
3.567 0.000 3.567
3.567 3.567 0.000
ATOMIC_POSITIONS angstrom
Li 0.000 0.000 0.000
Y 5.350 5.350 5.350
Lu 1.783 1.783 1.783
Ga 3.567 3.567 3.567


Q: Which calculated formation energy values were calculated for the entries above? A: -0.25, -0.24, -0.06, -0.25, -0.14, -0.07, -0.19, 0.08, -0.21, -0.18, -0.22, -0.34, -0.13, -0.07, -0.33, -0.23, -0.09, -0.42, 0.02, -0.31, -0.30, -0.62, -0.32, -0.30, -0.31, -0.33, -0.31, -0.32, in eV/atom.